Material: KPtI2O8
Method: DFT, PBE-GGA
State: optimized geometry

Output
Fermi-level density of states in states/eV/f.u.: 7.273
Formation energy without anion corrections in eV/atom: -0.4509

Structure (CIF):
```
data_KPtI2O8
_space_group_name_H-M_alt 'P -3'
_space_group_IT_number 147
_cell_length_a 5.7325
_cell_length_b 5.7325
_cell_length_c 7.4460
_cell_angle_alpha 90.00
_cell_angle_beta 90.00
_cell_angle_gamma 120.00
loop_
_space_group_symop_operation_xyz
'x,y,z'
'-x,-y,-z'
'-y,x-y,z'
'y,-x+y,-z'
'-x+y,-x,z'
'x-y,x,-z'
loop_
_atom_site_label
_atom_site_type_symbol
_atom_site_fract_x
_atom_site_fract_y
_atom_site_fract_z
_atom_site_occupancy
K1 K 0.0000 0.0000 0.0000 1
Pt1 Pt 0.0000 0.0000 0.5000 1
I1 I 0.3333 0.6667 0.6532 1
O1 O 0.0089 0.2877 0.6574 1
O2 O 0.3333 0.6667 0.8930 1
```



Material: Li4Dy3Pb4
Method: DFT, PBE-GGA
State: optimized geometry

Output
Calculated formation energy in meV/atom: -461
Fermi-level density of states in states/eV/f.u.: 2.582

Structure (CIF):
```
data_Li4Dy3Pb4
_space_group_name_H-M_alt 'I m m m'
_space_group_IT_number 71
_space_group_name_Hall '-I 2 2'
_cell_length_a 4.6522
_cell_length_b 7.2528
_cell_length_c 15.2224
_cell_angle_alpha 90.00
_cell_angle_beta 90.00
_cell_angle_gamma 90.00
loop_
_atom_site_label
_atom_site_type_symbol
_atom_site_fract_x
_atom_site_fract_y
_atom_site_fract_z
_atom_site_occupancy
Li1 Li 0.0000 0.1897 0.1743 1
Dy1 Dy 0.0000 0.0000 0.3741 1
Dy2 Dy 0.0000 0.5000 0.5000 1
Pb1 Pb 0.0000 0.2906 0.0000 1
Pb2 Pb 0.0000 0.5000 0.2847 1
```



Per-record final energy, eV/atom: -4.61, -3.76